## Ca2CdTc (GGA-PBE)

Data for a geometry-optimized Ca2CdTc structure.

a = 10.5541 Å, b = 10.5541 Å, c = 10.5541 Å
α = 18.15°, β = 18.15°, γ = 18.15°
Last column: nearest neighbours and their distance in Å.
Atoms (fractional coordinates):
Cd (0.2500, 0.2500, 0.2500)  6 Cd 3.33, 6 Ca 3.53
Ca (0.4883, 0.4883, 0.4883)  3 Tc 2.95
Ca (0.0117, 0.0117, 0.0117)  3 Tc 2.95
Tc (0.7500, 0.7500, 0.7500)  6 Ca 2.95

- Final energy: -3.38 eV per atom
- Spin magnetization: 0.82 μB/f.u.
- SG: R-3m, No. 166

## Tc3HgMo (GGA-PBE)

Data for a geometry-optimized Tc3HgMo structure.

a = 4.6990 Å, b = 4.6990 Å, c = 4.6990 Å
α = 90.00°, β = 90.00°, γ = 90.00°
Last column: nearest neighbours and their distance in Å.
Atoms (fractional coordinates):
Tc (0.0000, 0.0000, 0.5000)  2 Mo 2.35
Tc (0.0000, 0.5000, 0.0000)  2 Mo 2.35
Tc (0.5000, 0.0000, 0.0000)  2 Mo 2.35
Hg (0.5000, 0.5000, 0.5000)  12 Tc 3.32
Mo (0.0000, 0.0000, 0.0000)  6 Tc 2.35

- Distance to the lowest polymorph of the same formula: 0.000 eV per atom
- Final energy: -6.81 eV per atom
- Spin magnetization: 2.36 μB/f.u.
- SG: Pm-3m, No. 221

## BeCBr2 (GGA-PBE)

Data for a geometry-optimized BeCBr2 structure.

a = 7.8015 Å, b = 7.8015 Å, c = 7.8015 Å
α = 25.24°, β = 25.24°, γ = 25.24°
Last column: nearest neighbours and their distance in Å.
Atoms (fractional coordinates):
C (0.0000, 0.0000, 0.0000)  2 Br 2.38
Br (0.8949, 0.8949, 0.8949)  1 C 2.38, 3 Be 2.41
Br (0.1051, 0.1051, 0.1051)  1 C 2.38, 3 Be 2.41
Be (0.5000, 0.5000, 0.5000)  6 Br 2.41

- Distance to the lowest polymorph of the same formula: 0.073 eV per atom
- Final energy: -2.78 eV per atom
- Formation energy from raw total energies: 1.298 eV/atom
- Spin magnetization: 0.00 μB/f.u.
- SG: R-3m, No. 166

## Sc2CoReIr (GGA-PBE)

Data for a geometry-optimized Sc2CoReIr structure.

a = 4.8589 Å, b = 4.5020 Å, c = 4.8589 Å
α = 90.00°, β = 90.00°, γ = 90.00°
Last column: nearest neighbours and their distance in Å.
Atoms (fractional coordinates):
Co (0.0000, 0.5000, 0.0000)  2 Ir 2.25
Sc (0.5000, 0.0000, 0.0000)  2 Ir 2.43
Sc (0.0000, 0.0000, 0.5000)  2 Ir 2.43
Re (0.5000, 0.5000, 0.5000)  8 Sc 3.31, 4 Co 3.44
Ir (0.0000, 0.0000, 0.0000)  2 Co 2.25, 4 Sc 2.43

- Final energy: -7.31 eV per atom
- Spin magnetization: 3.46 μB/f.u.
- SG: P4/mmm, No. 123

## LaNp2MnN4 (GGA-PBE)

Data for a geometry-optimized LaNp2MnN4 structure.

a = 3.4187 Å, b = 6.0360 Å, c = 11.3741 Å
α = 90.00°, β = 90.00°, γ = 106.45°
Last column: nearest neighbours and their distance in Å.
Atoms (fractional coordinates):
Mn (0.8368, 0.6735, 0.7500)  4 N 1.96-2.04
Mn (0.1632, 0.3265, 0.2500)  4 N 1.96-2.04
N (0.2660, 0.5321, 0.3872)  1 Mn 1.96
N (0.0000, 0.0000, 0.5000)  4 Np 2.37
N (0.5675, 0.1350, 0.2500)  2 Mn 2.04
N (0.0000, 0.0000, 0.0000)  4 Np 2.37
N (0.7340, 0.4679, 0.6128)  1 Mn 1.96
N (0.7340, 0.4679, 0.8872)  1 Mn 1.96
N (0.2660, 0.5321, 0.1128)  1 Mn 1.96
N (0.4325, 0.8650, 0.7500)  2 Mn 2.04
Np (0.3689, 0.7377, 0.5542)  6 N 2.24-2.41
Np (0.3689, 0.7377, 0.9458)  6 N 2.24-2.41
Np (0.6311, 0.2623, 0.0542)  6 N 2.24-2.41
Np (0.6311, 0.2623, 0.4458)  6 N 2.24-2.41
La (0.8998, 0.7996, 0.2500)  6 N 2.59-2.79
La (0.1002, 0.2004, 0.7500)  6 N 2.59-2.79

- Final energy: -10.23 eV per atom
- Formation energy from raw total energies: -1.069 eV/atom
- Spin magnetization: 2.78 μB/f.u.
- SG: Cmcm, No. 63

## PmSm10Ho4 (GGA-PBE)

Data for a geometry-optimized PmSm10Ho4 structure.

a = 7.7492 Å, b = 9.5102 Å, c = 9.5102 Å
α = 80.45°, β = 65.96°, γ = 65.96°
Last column: nearest neighbours and their distance in Å.
Atoms (fractional coordinates):
Sm (0.6487, 0.3015, 0.8986)  3 Ho 3.35-3.36, 1 Pm 3.38
Sm (0.8488, 0.6985, 0.1014)  3 Ho 3.35-3.36, 1 Pm 3.38
Sm (0.2500, 0.5000, 0.5000)  4 Ho 3.36
Sm (0.7500, 0.5000, 0.5000)  4 Ho 3.36
Sm (0.0498, 0.1014, 0.3015)  3 Ho 3.35-3.36, 1 Pm 3.38
Sm (0.5472, 0.1014, 0.3015)  3 Ho 3.35-3.36, 1 Pm 3.38
Sm (0.1512, 0.3015, 0.8986)  3 Ho 3.35-3.36, 1 Pm 3.38
Sm (0.3513, 0.6985, 0.1014)  3 Ho 3.35-3.36, 1 Pm 3.38
Sm (0.9502, 0.8986, 0.6985)  3 Ho 3.35-3.36, 1 Pm 3.38
Sm (0.4528, 0.8986, 0.6985)  3 Ho 3.35-3.36, 1 Pm 3.38
Pm (0.0000, 0.0000, 0.0000)  8 Sm 3.38
Ho (0.8001, 0.5998, 0.8001)  8 Sm 3.35-3.36
Ho (0.1999, 0.4002, 0.1999)  8 Sm 3.35-3.36
Ho (0.3998, 0.8001, 0.4002)  8 Sm 3.35-3.36
Ho (0.6002, 0.1999, 0.5998)  8 Sm 3.35-3.36

- Final energy: -3.97 eV per atom
- Spin magnetization: 0.00 μB/f.u.
- SG: I4/m, No. 87

## Na2NdThS4 (GGA-PBE)

Data for a geometry-optimized Na2NdThS4 structure.

a = 4.0805 Å, b = 7.0585 Å, c = 7.1603 Å
α = 109.08°, β = 90.00°, γ = 90.00°
Last column: nearest neighbours and their distance in Å.
Atoms (fractional coordinates):
Na (0.0000, 0.5000, 0.5000)  6 S 2.96-2.98
Na (0.5000, 0.0000, 0.5000)  6 S 2.92-2.93
Nd (0.5000, 0.5000, 0.0000)  6 S 2.87-2.88
S (0.5000, 0.7588, 0.7621)  2 Th 2.84, 1 Nd 2.88, 3 Na 2.92-2.96
S (0.5000, 0.2412, 0.2379)  2 Th 2.84, 1 Nd 2.88, 3 Na 2.92-2.96
S (0.0000, 0.2482, 0.7619)  1 Th 2.82, 2 Nd 2.87, 3 Na 2.93-2.98
S (0.0000, 0.7518, 0.2381)  1 Th 2.82, 2 Nd 2.87, 3 Na 2.93-2.98
Th (0.0000, 0.0000, 0.0000)  6 S 2.82-2.84

- Final energy: -5.63 eV per atom
- Formation energy from raw total energies: -1.710 eV/atom
- Spin magnetization: 0.00 μB/f.u.
- SG: P2/m, No. 10

## Si5Pb3Au12 (GGA-PBE)

Data for a geometry-optimized Si5Pb3Au12 structure.

a = 13.4210 Å, b = 13.4210 Å, c = 13.4210 Å
α = 109.47°, β = 109.47°, γ = 109.47°
Last column: nearest neighbours and their distance in Å.
Atoms (fractional coordinates):
Au (0.9070, 0.0810, 0.6108)  2 Si 2.40-2.45
Au (0.8892, 0.5930, 0.9190)  2 Si 2.40-2.45
Au (0.4702, 0.7962, 0.8892)  2 Si 2.40-2.45
Au (0.1108, 0.7038, 0.5298)  2 Si 2.40-2.45
Au (0.3892, 0.9702, 0.7962)  2 Si 2.40-2.45
Au (0.5298, 0.2038, 0.1108)  2 Si 2.40-2.45
Au (0.5810, 0.6108, 0.4070)  2 Si 2.40-2.45
Au (0.7038, 0.5930, 0.1740)  2 Si 2.40-2.45
Au (0.9070, 0.8260, 0.7962)  2 Si 2.40-2.45
Au (0.2038, 0.6740, 0.0930)  2 Si 2.40-2.45
Au (0.8260, 0.9190, 0.0298)  2 Si 2.40-2.45
Au (0.6740, 0.2038, 0.5930)  2 Si 2.40-2.45
Au (0.4070, 0.1108, 0.5810)  2 Si 2.40-2.45
Au (0.7962, 0.4702, 0.3892)  2 Si 2.40-2.45
Au (0.3892, 0.4190, 0.0930)  2 Si 2.40-2.45
Au (0.5810, 0.9702, 0.6740)  2 Si 2.40-2.45
Au (0.9702, 0.3892, 0.2962)  2 Si 2.40-2.45
Au (0.2962, 0.4070, 0.8260)  2 Si 2.40-2.45
Au (0.4190, 0.3892, 0.5930)  2 Si 2.40-2.45
Au (0.5930, 0.8892, 0.4190)  2 Si 2.40-2.45
Au (0.6108, 0.0298, 0.2038)  2 Si 2.40-2.45
Au (0.2038, 0.5298, 0.6108)  2 Si 2.40-2.45
Au (0.9702, 0.5810, 0.1740)  2 Si 2.40-2.45
Au (0.3260, 0.7962, 0.4070)  2 Si 2.40-2.45
Au (0.1740, 0.0930, 0.7038)  2 Si 2.40-2.45
Au (0.0930, 0.1740, 0.2038)  2 Si 2.40-2.45
Au (0.6740, 0.4702, 0.5810)  2 Si 2.40-2.45
Au (0.3260, 0.5298, 0.4190)  2 Si 2.40-2.45
Au (0.8892, 0.2962, 0.4702)  2 Si 2.40-2.45
Au (0.0810, 0.9070, 0.1108)  2 Si 2.40-2.45
Au (0.7038, 0.1108, 0.0298)  2 Si 2.40-2.45
Au (0.8260, 0.9070, 0.2962)  2 Si 2.40-2.45
Au (0.9190, 0.8260, 0.5298)  2 Si 2.40-2.45
Au (0.2962, 0.8892, 0.9702)  2 Si 2.40-2.45
Au (0.7962, 0.3260, 0.9070)  2 Si 2.40-2.45
Au (0.0930, 0.9190, 0.3892)  2 Si 2.40-2.45
Au (0.9190, 0.0930, 0.8892)  2 Si 2.40-2.45
Au (0.4070, 0.2962, 0.3260)  2 Si 2.40-2.45
Au (0.0810, 0.1740, 0.4702)  2 Si 2.40-2.45
Au (0.5930, 0.7038, 0.6740)  2 Si 2.40-2.45
Au (0.5298, 0.3260, 0.9190)  2 Si 2.40-2.45
Au (0.4702, 0.6740, 0.0810)  2 Si 2.40-2.45
Au (0.6108, 0.5810, 0.9070)  2 Si 2.40-2.45
Au (0.1108, 0.4070, 0.0810)  2 Si 2.40-2.45
Au (0.0298, 0.4190, 0.8260)  2 Si 2.40-2.45
Au (0.1740, 0.0810, 0.9702)  2 Si 2.40-2.45
Au (0.0298, 0.6108, 0.7038)  2 Si 2.40-2.45
Au (0.4190, 0.0298, 0.3260)  2 Si 2.40-2.45
Si (0.2500, 0.8750, 0.1250)  4 Au 2.40
Si (0.5000, 0.5000, 0.5000)  6 Au 2.45
Si (0.8750, 0.6250, 0.7500)  4 Au 2.40
Si (0.5000, 0.0000, 0.5000)  6 Au 2.45
Si (0.0000, 0.5000, 0.5000)  6 Au 2.45
Si (0.7500, 0.1250, 0.8750)  4 Au 2.40
Si (0.3750, 0.2500, 0.1250)  4 Au 2.40
Si (0.8750, 0.2500, 0.6250)  4 Au 2.40
Si (0.5000, 0.0000, 0.0000)  6 Au 2.45
Si (0.1250, 0.3750, 0.2500)  4 Au 2.40
Si (0.3750, 0.1250, 0.7500)  4 Au 2.40
Si (0.0000, 0.0000, 0.0000)  6 Au 2.45
Si (0.0000, 0.0000, 0.5000)  6 Au 2.45
Si (0.1250, 0.7500, 0.3750)  4 Au 2.40
Si (0.5000, 0.5000, 0.0000)  6 Au 2.45
Si (0.6250, 0.7500, 0.8750)  4 Au 2.40
Si (0.6250, 0.8750, 0.2500)  4 Au 2.40
Si (0.0000, 0.5000, 0.0000)  6 Au 2.45
Si (0.7500, 0.6250, 0.3750)  4 Au 2.40
Si (0.2500, 0.3750, 0.6250)  4 Au 2.40
Pb (0.1250, 0.2500, 0.8750)  8 Au 2.98-3.09
Pb (0.8750, 0.1250, 0.2500)  8 Au 2.98-3.09
Pb (0.2500, 0.6250, 0.8750)  8 Au 2.98-3.09
Pb (0.1250, 0.8750, 0.7500)  8 Au 2.98-3.09
Pb (0.6250, 0.3750, 0.7500)  8 Au 2.98-3.09
Pb (0.2500, 0.1250, 0.3750)  8 Au 2.98-3.09
Pb (0.7500, 0.8750, 0.6250)  8 Au 2.98-3.09
Pb (0.7500, 0.3750, 0.1250)  8 Au 2.98-3.09
Pb (0.3750, 0.6250, 0.2500)  8 Au 2.98-3.09
Pb (0.8750, 0.7500, 0.1250)  8 Au 2.98-3.09
Pb (0.6250, 0.2500, 0.3750)  8 Au 2.98-3.09
Pb (0.3750, 0.7500, 0.6250)  8 Au 2.98-3.09

- Final energy: -3.78 eV per atom
- Formation energy from raw total energies: 0.103 eV/atom
- Spin magnetization: 0.00 μB/f.u.
- SG: Ia-3d, No. 230

## Na2SbP2Pd5 (GGA-PBE)

Data for a geometry-optimized Na2SbP2Pd5 structure.

a = 3.2007 Å, b = 10.5049 Å, c = 10.5049 Å
α = 90.00°, β = 90.00°, γ = 90.00°
Last column: nearest neighbours and their distance in Å.
Atoms (fractional coordinates):
P (0.0000, 0.1255, 0.6255)  6 Pd 2.41-2.46
P (0.0000, 0.8745, 0.3745)  6 Pd 2.41-2.46
P (0.0000, 0.6255, 0.8745)  6 Pd 2.41-2.46
P (0.0000, 0.3745, 0.1255)  6 Pd 2.41-2.46
Pd (0.5000, 0.4335, 0.2861)  2 P 2.41
Pd (0.5000, 0.2139, 0.0665)  2 P 2.41
Pd (0.5000, 0.9335, 0.2139)  2 P 2.41
Pd (0.5000, 0.5665, 0.7139)  2 P 2.41
Pd (0.5000, 0.0665, 0.7861)  2 P 2.41
Pd (0.5000, 0.2861, 0.5665)  2 P 2.41
Pd (0.5000, 0.5000, 0.0000)  4 P 2.46
Pd (0.5000, 0.7861, 0.9335)  2 P 2.41
Pd (0.5000, 0.0000, 0.5000)  4 P 2.46
Pd (0.5000, 0.7139, 0.4335)  2 P 2.41
Sb (0.0000, 0.5000, 0.5000)  8 Pd 2.85
Sb (0.0000, 0.0000, 0.0000)  8 Pd 2.85
Na (0.0000, 0.8248, 0.6752)  3 P 2.96-3.20, 10 Pd 3.06-3.22, 2 Na 3.20
Na (0.0000, 0.6752, 0.1752)  3 P 2.96-3.20, 10 Pd 3.06-3.22, 2 Na 3.20
Na (0.0000, 0.1752, 0.3248)  3 P 2.96-3.20, 10 Pd 3.06-3.22, 2 Na 3.20
Na (0.0000, 0.3248, 0.8248)  3 P 2.96-3.20, 10 Pd 3.06-3.22, 2 Na 3.20

- Final energy: -4.81 eV per atom
- Formation energy from raw total energies: -0.451 eV/atom
- Spin magnetization: 0.00 μB/f.u.
- SG: P4/mbm, No. 127

## K2Mg6Tl9 (GGA-PBE)

Data for a geometry-optimized K2Mg6Tl9 structure.

a = 6.6041 Å, b = 6.6041 Å, c = 14.3353 Å
α = 90.00°, β = 90.00°, γ = 120.00°
Last column: nearest neighbours and their distance in Å.
Atoms (fractional coordinates):
Tl (0.5000, 0.0000, 0.5000)  4 Mg 3.06, 4 Tl 3.30
Tl (0.5000, 0.5000, 0.8352)  4 Mg 3.04-3.07, 4 Tl 3.30
Tl (0.5000, 0.0000, 0.8352)  4 Mg 3.04-3.07, 4 Tl 3.30
Tl (0.0000, 0.5000, 0.8352)  4 Mg 3.04-3.07, 4 Tl 3.30
Tl (0.5000, 0.5000, 0.5000)  4 Mg 3.06, 4 Tl 3.30
Tl (0.5000, 0.0000, 0.1648)  4 Mg 3.04-3.07, 4 Tl 3.30
Tl (0.5000, 0.5000, 0.1648)  4 Mg 3.04-3.07, 4 Tl 3.30
Tl (0.0000, 0.5000, 0.1648)  4 Mg 3.04-3.07, 4 Tl 3.30
Tl (0.0000, 0.5000, 0.5000)  4 Mg 3.06, 4 Tl 3.30
Mg (0.6667, 0.3333, 0.3326)  6 Tl 3.06-3.07
Mg (0.6667, 0.3333, 0.6674)  6 Tl 3.06-3.07
Mg (0.3333, 0.6667, 0.6674)  6 Tl 3.06-3.07
Mg (0.6667, 0.3333, 0.0000)  6 Tl 3.04
Mg (0.3333, 0.6667, 0.3326)  6 Tl 3.06-3.07
Mg (0.3333, 0.6667, 0.0000)  6 Tl 3.04
K (0.0000, 0.0000, 0.3293)  6 Mg 3.81, 12 Tl 4.06-4.11
K (0.0000, 0.0000, 0.6707)  6 Mg 3.81, 12 Tl 4.06-4.11

- Final energy: -1.91 eV per atom
- Spin magnetization: 0.00 μB/f.u.
- SG: P6/mmm, No. 191

## VPdPb3 (GGA-PBE)

Data for a geometry-optimized VPdPb3 structure.

a = 5.3338 Å, b = 5.3338 Å, c = 5.3338 Å
α = 90.00°, β = 90.00°, γ = 90.00°
Last column: nearest neighbours and their distance in Å.
Atoms (fractional coordinates):
Pb (0.5000, 0.0000, 0.0000)  2 Pd 2.67
Pb (0.0000, 0.5000, 0.0000)  2 Pd 2.67
Pb (0.0000, 0.0000, 0.5000)  2 Pd 2.67
Pd (0.0000, 0.0000, 0.0000)  6 Pb 2.67
V (0.5000, 0.5000, 0.5000)  12 Pb 3.77

- Distance to the lowest polymorph of the same formula: 0.065 eV per atom
- Final energy: -4.43 eV per atom
- Spin magnetization: 3.82 μB/f.u.
- SG: Pm-3m, No. 221

## SiAsPd3 (GGA-PBE)

Data for a geometry-optimized SiAsPd3 structure.

a = 3.8409 Å, b = 7.4696 Å, c = 6.1069 Å
α = 90.00°, β = 90.00°, γ = 90.00°
Last column: nearest neighbours and their distance in Å.
Atoms (fractional coordinates):
Pd (0.0000, 0.3216, 0.4061)  2 Si 2.41-2.54, 2 As 2.50
Pd (0.0000, 0.6784, 0.9061)  2 Si 2.41-2.54, 2 As 2.50
Pd (0.5000, 0.4172, 0.0788)  2 Si 2.52, 1 As 2.56, 1 Pd 2.83
Pd (0.5000, 0.1962, 0.7031)  2 Si 2.40, 2 As 2.47-2.53
Pd (0.5000, 0.5828, 0.5788)  2 Si 2.52, 1 As 2.56, 1 Pd 2.83
Pd (0.5000, 0.8038, 0.2031)  2 Si 2.40, 2 As 2.47-2.53
As (0.5000, 0.1258, 0.2979)  5 Pd 2.47-2.56
As (0.5000, 0.8742, 0.7979)  5 Pd 2.47-2.56
Si (0.0000, 0.6359, 0.3186)  6 Pd 2.40-2.54
Si (0.0000, 0.3641, 0.8186)  6 Pd 2.40-2.54

- Distance to the lowest polymorph of the same formula: 0.000 eV per atom
- Final energy: -5.56 eV per atom
- Formation energy from raw total energies: -0.431 eV/atom
- Spin magnetization: 0.00 μB/f.u.
- SG: Pmc2_1, No. 26